(1)
Here is crystalline ScFe2Hg at its relaxed geometry from Alexandria via LeMat-Bulk. Energies are from PBE.

* total moment: 7.80 Bohr magnetons per cell
* E: -5.83 eV per atom

Cell: 3.374 4.397 8.756 Å, 90.00 90.00 90.00°
Space group Imm2 (No. 44)
Asymmetric unit:
1 Sc 0.000 0.000 0.000 [2 per cell]
2 Fe 0.000 0.000 0.464 [2 per cell]
3 Fe 0.000 0.500 0.769 [2 per cell]
4 Hg 0.000 0.500 0.224 [2 per cell]

---

(2)
Here is crystalline ScFe2Hg at its relaxed geometry from Alexandria via LeMat-Bulk. Energies are from PBE.

* total moment: 4.39 Bohr magnetons per cell
* E: -5.66 eV per atom

Cell: 2.922 4.504 5.237 Å, 90.00 93.51 90.00°
Space group P2/m (No. 10)
Asymmetric unit:
1 Sc 0.000 0.000 0.000 [1 per cell]
2 Fe 0.362 0.500 0.787 [2 per cell]
3 Hg 0.500 0.000 0.500 [1 per cell]

---

(3)
Here is crystalline Sc4FeHg3 at its relaxed geometry from Alexandria via LeMat-Bulk. Energies are from PBE.

* total moment: 0.45 Bohr magnetons per cell
* E: -4.69 eV per atom

Cell: 3.268 3.268 15.030 Å, 90.00 90.00 90.00°
Space group P4/mmm (No. 123)
Asymmetric unit:
1 Sc 0.000 0.000 0.098 [2 per cell]
2 Sc 0.000 0.000 0.365 [2 per cell]
3 Fe 0.500 0.500 0.000 [1 per cell]
4 Hg 0.500 0.500 0.233 [2 per cell]
5 Hg 0.500 0.500 0.500 [1 per cell]